No. 1
B7C3, relaxed, DFT PBE; excess energy over the best structure of this formula in the dataset = 54 meV per atom; E_tot = -7.10 eV/atom; formation energy = 33 kJ per mole of atoms
1.0
1.872 -0.935 -7.186
4.008 -4.441 -4.498
-5.163 2.072 5.006
B C
7 3
Cartesian
3.859 -4.336 -4.350 B
2.126 -2.505 -6.841 B
1.213 -1.141 -2.559 B
2.955 -3.263 -8.488 B
-2.698 -0.013 0.897 B
-0.426 -0.187 -1.840 B
0.023 -2.500 -4.510 B
2.606 -3.608 -3.805 C
3.501 -3.216 -7.028 C
0.998 -1.362 -4.076 C

No. 2
Be2TcCl, relaxed, DFT PBE; excess energy over the best structure of this formula in the dataset = 40 meV per atom; energy relative to the elements, uncorrected = 0.1656 eV/atom; E_tot = -4.75 eV/atom
1.0
-2.512 1.655 -0.202
-1.601 -2.248 1.488
0.378 1.261 5.628
Be Tc Cl
2 1 1
Cartesian
0.086 0.804 5.517 Be
-0.320 -0.037 3.669 Be
-2.173 0.087 5.236 Tc
-1.562 0.581 1.678 Cl

No. 3
Li3MgHg2, relaxed, DFT PBE; excess energy over the best structure of this formula in the dataset = 50 meV per atom; E_tot = -1.56 eV/atom; formation energy = -22 kJ per mole of atoms
1.0
2.941 0.000 0.000
0.000 4.626 0.000
0.000 0.000 8.112
Li Mg Hg
3 1 2
Cartesian
1.471 0.000 6.726 Li
1.471 0.000 1.214 Li
1.471 2.313 5.519 Li
1.471 2.313 2.728 Mg
0.000 2.313 8.077 Hg
0.000 0.000 4.127 Hg

No. 4
CeDy2C2, relaxed, DFT PBE; excess energy over the best structure of this formula in the dataset = 4 meV per atom; E_tot = -6.91 eV/atom; formation energy = -19 kJ per mole of atoms
1.0
5.091 0.000 0.000
2.545 5.698 0.679
2.545 2.606 7.229
Ce Dy C
2 4 4
Cartesian
2.545 1.564 0.809 Ce
7.636 6.739 7.099 Ce
5.091 2.506 3.268 Dy
5.091 5.797 4.640 Dy
2.545 4.848 2.439 Dy
7.636 3.455 5.469 Dy
2.545 2.510 3.081 C
7.636 5.794 4.827 C
5.091 3.257 5.695 C
5.091 5.046 2.213 C

No. 5
Pm5Pr5Tm2, relaxed, DFT PBE; E_tot = -4.70 eV/atom; formation energy = 2 kJ per mole of atoms
1.0
0.862 -0.750 8.073
5.482 0.339 6.025
0.238 9.943 5.821
Pm Pr Tm
5 5 2
Cartesian
3.291 4.766 9.959 Pm
4.473 9.665 15.230 Pm
3.867 7.225 12.567 Pm
2.715 2.306 7.352 Pm
2.109 -0.133 4.688 Pm
1.164 4.911 5.236 Pr
4.808 2.182 12.010 Pr
1.774 7.350 7.909 Pr
5.418 4.620 14.683 Pr
0.000 0.000 0.000 Pr
0.589 2.434 2.622 Tm
5.993 7.098 17.297 Tm

No. 6
MnTcMo2, relaxed, DFT PBE; excess energy over the best structure of this formula in the dataset = 37 meV per atom; E_tot = -10.20 eV/atom; formation energy = 10 kJ per mole of atoms
1.0
2.685 -0.003 0.000
-0.875 2.539 0.000
0.000 0.000 8.550
Mn Mo Tc
1 2 1
Cartesian
0.905 1.268 6.412 Mn
0.000 0.000 8.456 Mo
0.000 0.000 4.369 Mo
0.905 1.268 2.137 Tc

- Which value of E_tot does entry 4 give?
  -6.91 eV/atom